First-principles (PBE-GGA) data for crystalline LiCrW2 at its relaxed geometry, as listed in Alexandria via LeMat-Bulk.

Cell: 3.1563 3.1563 5.6385 Å, 90.00 90.00 90.00°
Last column: nearest neighbours and their distance in Å.
Positions (direct):
Cr  0.0000  0.0000  0.5145  4 Li 2.57, 5 W 2.65-2.66
Li  0.5000  0.5000  0.7399  4 Cr 2.57, 5 W 2.63-2.71
W  0.0000  0.0000  0.9861  4 Li 2.63, 1 Cr 2.66, 4 W 2.71
W  0.5000  0.5000  0.2596  4 Cr 2.65, 2 Li 2.71-2.93, 4 W 2.71

Output
- ΔH_f (0 K): 0.5096 eV per atom
- Total moment: 0.86 Bohr magnetons per cell
- DOS at the Fermi energy: 3.8 states/eV/f.u.

***

First-principles (PBE-GGA) data for crystalline LiCrW2 at its relaxed geometry, as listed in Alexandria via LeMat-Bulk.

Cell: 4.2664 4.2664 4.2664 Å, 60.00 60.00 60.00°
Last column: nearest neighbours and their distance in Å.
Positions (direct):
Cr  0.5000  0.5000  0.5000  8 W 2.61
W  0.2500  0.2500  0.2500  4 Cr 2.61, 4 Li 2.61
W  0.7500  0.7500  0.7500  4 Cr 2.61, 4 Li 2.61
Li  0.0000  0.0000  0.0000  8 W 2.61

Output
- ΔH_f (0 K): 0.4823 eV per atom
- Total moment: 0.00 Bohr magnetons per cell
- DOS at the Fermi energy: 3.9 states/eV/f.u.

***

First-principles (PBE-GGA) data for crystalline LiCrW2 at its relaxed geometry, as listed in Alexandria via LeMat-Bulk.

Cell: 2.5454 4.2806 5.3307 Å, 90.00 90.00 90.00°
Last column: nearest neighbours and their distance in Å.
Positions (direct):
Cr  0.0000  0.0000  0.5063  2 Cr 2.55, 6 W 2.58-2.82, 4 Li 2.80
Li  0.5000  0.5000  0.7467  2 Li 2.55, 6 W 2.61-2.81, 4 Cr 2.80
W  0.0000  0.0000  0.9896  2 W 2.55, 2 Cr 2.58-2.75, 4 Li 2.81
W  0.5000  0.5000  0.2573  2 W 2.55, 2 Li 2.61-2.72, 4 Cr 2.82

Output
- ΔH_f (0 K): 0.5275 eV per atom
- Total moment: 0.00 Bohr magnetons per cell
- DOS at the Fermi energy: 3.0 states/eV/f.u.

***

First-principles (PBE-GGA) data for crystalline LiCrW2 at its relaxed geometry, as listed in Alexandria via LeMat-Bulk.

Cell: 4.3619 2.6233 5.0360 Å, 81.68 90.00 90.00°
Last column: nearest neighbours and their distance in Å.
Positions (direct):
Cr  0.0000  0.5293  0.4922  4 W 2.61-2.71, 2 Li 2.62, 2 Cr 2.62
Li  0.5000  0.7093  0.7502  2 Cr 2.62, 2 Li 2.62, 5 W 2.66-2.86
W  0.0000  0.9972  0.9943  4 W 2.62-2.71, 2 Cr 2.63-2.71, 2 Li 2.67
W  0.5000  0.2643  0.2632  2 Cr 2.61, 4 W 2.62-2.71, 3 Li 2.66-2.86

Output
- ΔH_f (0 K): 0.3906 eV per atom
- Total moment: 0.00 Bohr magnetons per cell
- DOS at the Fermi energy: 3.4 states/eV/f.u.

***

First-principles (PBE-GGA) data for crystalline LiCrW2 at its relaxed geometry, as listed in Alexandria via LeMat-Bulk.

Cell: 2.5905 2.5905 9.0032 Å, 90.00 90.00 90.00°
Last column: nearest neighbours and their distance in Å.
Positions (direct):
Cr  0.5000  0.5000  0.2500  4 Cr 2.59, 8 W 2.81
Li  0.5000  0.5000  0.7500  4 Li 2.59
W  0.0000  0.0000  0.0134  4 W 2.59, 4 Cr 2.81
W  0.0000  0.0000  0.4866  4 W 2.59, 4 Cr 2.81

Output
- ΔH_f (0 K): 0.5448 eV per atom
- Total moment: 0.35 Bohr magnetons per cell
- DOS at the Fermi energy: 3.3 states/eV/f.u.

***

First-principles (PBE-GGA) data for crystalline LiCr2W at its relaxed geometry, as listed in Alexandria via LeMat-Bulk.

Cell: 2.5951 2.5951 8.7933 Å, 90.00 90.00 109.17°
Last column: nearest neighbours and their distance in Å.
Positions (direct):
Cr  0.0000  0.0000  0.9904  2 W 2.59, 4 Cr 2.60, 2 Li 2.73
Cr  0.0000  0.0000  0.5096  2 W 2.59, 4 Cr 2.60, 2 Li 2.73
Li  0.5000  0.5000  0.2500  4 Li 2.60, 4 Cr 2.73
W  0.5000  0.5000  0.7500  4 Cr 2.59, 4 W 2.60

Output
- ΔH_f (0 K): 0.4114 eV per atom
- Total moment: 0.01 Bohr magnetons per cell
- DOS at the Fermi energy: 5.1 states/eV/f.u.

***

Which of these has the lowest ΔH_f (0 K)? number 4

***

Among the records above, which one has the lowest ΔH_f (0 K)? number 4

***

What did the fourth record say?
First-principles (PBE-GGA) data for crystalline LiCrW2 at its relaxed geometry, as listed in Alexandria via LeMat-Bulk.

Cell: 4.3619 2.6233 5.0360 Å, 81.68 90.00 90.00°
Last column: nearest neighbours and their distance in Å.
Positions (direct):
Cr  0.0000  0.5293  0.4922  4 W 2.61-2.71, 2 Li 2.62, 2 Cr 2.62
Li  0.5000  0.7093  0.7502  2 Cr 2.62, 2 Li 2.62, 5 W 2.66-2.86
W  0.0000  0.9972  0.9943  4 W 2.62-2.71, 2 Cr 2.63-2.71, 2 Li 2.67
W  0.5000  0.2643  0.2632  2 Cr 2.61, 4 W 2.62-2.71, 3 Li 2.66-2.86

Output
- ΔH_f (0 K): 0.3906 eV per atom
- Total moment: 0.00 Bohr magnetons per cell
- DOS at the Fermi energy: 3.4 states/eV/f.u.

***

Which formula does entry 2 have? LiCrW2